1.
Density functional theory data (SCAN) for a crystal of Dy3Pd4 relaxed with PBEsol.

Geometry as extended XYZ:
```
14
Lattice="5.648 0.000 0.000 -1.883 7.505 0.000 -1.883 -3.753 6.500" Properties=species:S:1:pos:R:3 pbc="T T T"
Dy 2.434 5.130 0.832
Dy 1.332 -0.467 2.473
Dy -0.551 -1.378 5.668
Dy 0.551 4.219 4.027
Dy -2.434 1.845 4.859
Dy 4.316 1.908 1.641
Pd 0.000 0.000 0.000
Pd 2.824 0.000 0.000
Pd -2.191 4.342 3.339
Pd -0.308 4.473 1.070
Pd 4.074 -0.590 3.161
Pd 0.308 1.310 4.409
Pd 2.191 -0.720 5.430
Pd 1.574 2.443 2.091
```

Calculated values
Energy of formation from the pure elements = -687.4 kJ/mol of formula units
E_tot = -40.23 eV/atom
Space-group type = No. 148

2.
Density functional theory data (SCAN) for a crystal of Be2BiBr relaxed with PBEsol.

Geometry as extended XYZ:
```
8
Lattice="-0.292 -1.764 -5.263 -1.288 -5.105 1.782 -4.737 4.779 1.597" Properties=species:S:1:pos:R:3 pbc="T T T"
Br -2.910 -0.210 -2.704
Br -0.790 -3.435 -1.741
Be -2.422 -3.940 -0.034
Be -4.536 -0.690 -0.985
Be -1.922 -2.257 -3.518
Be -3.755 2.707 0.769
Bi -3.408 -1.880 0.819
Bi 0.000 0.000 0.000
```

Calculated values
E_tot = -26.61 eV/atom
Space-group type = No. 122

3.
Density functional theory data (SCAN) for a crystal of Ba2NaY relaxed with PBEsol.

Geometry as extended XYZ:
```
4
Lattice="-5.887 2.211 0.637 -3.543 -1.813 4.911 -1.352 4.109 4.609" Properties=species:S:1:pos:R:3 pbc="T T T"
Y -5.391 2.253 5.079
Ba -8.086 3.380 7.618
Ba -2.695 1.127 2.539
Na 0.000 0.000 0.000
```

Calculated values
Energy of formation from the pure elements = 117.8 kJ/mol of formula units
E_tot = -27.48 eV/atom
Space-group type = No. 225

4.
Density functional theory data (SCAN) for a crystal of ZrIrCl2 relaxed with PBEsol.

Geometry as extended XYZ:
```
4
Lattice="-0.183 2.936 -1.052 -1.955 0.704 -2.333 -6.990 2.888 4.636" Properties=species:S:1:pos:R:3 pbc="T T T"
Cl -5.240 2.421 3.028
Cl -3.888 4.107 -1.778
Ir -4.564 3.264 0.625
Zr 0.000 0.000 0.000
```

Calculated values
Relative energy among the computed polymorphs = 612 meV per atom
E_tot = -29.05 eV/atom
Space-group type = No. 166

5.
Density functional theory data (SCAN) for a crystal of Ca3Te2 relaxed with PBEsol.

Geometry as extended XYZ:
```
5
Lattice="4.341 0.000 0.000 2.171 3.760 0.000 2.171 1.253 10.680" Properties=species:S:1:pos:R:3 pbc="T T T"
Te 4.341 2.507 8.817
Te 4.341 2.507 1.864
Ca 6.512 3.760 6.951
Ca 0.000 0.000 0.000
Ca 2.171 1.253 3.729
```

Calculated values
E_tot = -22.06 eV/atom
Space-group type = No. 166

6.
Density functional theory data (SCAN) for a crystal of NbAlOF2 relaxed with PBEsol.

Geometry as extended XYZ:
```
5
Lattice="-3.500 0.984 -0.518 0.484 -0.332 -3.903 -1.093 -3.788 0.186" Properties=species:S:1:pos:R:3 pbc="T T T"
Nb -2.054 -1.568 -2.117
F -0.546 -1.894 0.093
F 0.242 -0.166 -1.952
Al 0.000 0.000 0.000
O -1.750 0.492 -0.259
```

Calculated values
E_tot = -12.61 eV/atom
Space-group type = No. 123

7.
Density functional theory data (SCAN) for a crystal of Ca2CdGaS relaxed with PBEsol.

Geometry as extended XYZ:
```
5
Lattice="5.029 0.000 0.000 0.000 5.212 0.000 0.000 0.000 5.212" Properties=species:S:1:pos:R:3 pbc="T T T"
Cd 2.515 0.000 0.000
Ca 0.000 2.606 0.000
Ca 0.000 0.000 2.606
Ga 2.515 2.606 2.606
S 0.000 0.000 0.000
```

Calculated values
E_tot = -15.72 eV/atom
Space-group type = No. 123

8.
Density functional theory data (SCAN) for a crystal of HfMgZrTe2 relaxed with PBEsol.

Geometry as extended XYZ:
```
5
Lattice="5.236 0.000 0.000 0.000 5.375 0.000 0.000 0.000 5.375" Properties=species:S:1:pos:R:3 pbc="T T T"
Te 0.000 2.688 0.000
Te 0.000 0.000 2.688
Hf 0.000 0.000 0.000
Mg 2.618 0.000 0.000
Zr 2.618 2.688 2.688
```

Calculated values
E_tot = -34.09 eV/atom
Space-group type = No. 123

9.
Density functional theory data (SCAN) for a crystal of PbAu relaxed with PBEsol.

Geometry as extended XYZ:
```
4
Lattice="3.455 0.000 0.000 0.000 3.455 0.000 0.000 0.000 7.769" Properties=species:S:1:pos:R:3 pbc="T T T"
Pb 0.000 1.728 2.511
Pb 1.728 0.000 5.258
Au 1.728 0.000 0.722
Au 0.000 1.728 7.047
```

Calculated values
Energy of formation from the pure elements = -2.6 kJ/mol of formula units
E_tot = -72.48 eV/atom
Space-group type = No. 129

10.
Density functional theory data (SCAN) for a crystal of KRb2GdCl6 relaxed with PBEsol.

Geometry as extended XYZ:
```
10
Lattice="-2.179 -4.677 -5.904 5.166 -4.970 -3.176 -0.746 -7.715 1.181" Properties=species:S:1:pos:R:3 pbc="T T T"
Cl 3.250 -6.728 -3.543
Cl 2.103 -9.189 -6.650
Cl 0.138 -8.173 -1.250
Cl -0.616 -6.574 -4.978
Cl -1.009 -10.634 -4.357
Cl 2.857 -10.788 -2.921
Gd 0.000 0.000 0.000
K 1.121 -8.681 -3.950
Rb 0.560 -4.340 -1.975
Rb 1.681 -13.021 -5.925
```

Calculated values
E_tot = -17.96 eV/atom
Space-group type = No. 225

11.
Density functional theory data (SCAN) for a crystal of GdCoC relaxed with PBEsol.

Geometry as extended XYZ:
```
6
Lattice="-2.807 -1.809 -1.309 2.183 -2.666 -0.997 -0.914 -3.063 6.192" Properties=species:S:1:pos:R:3 pbc="T T T"
Co -0.312 -2.237 -1.153
Co -0.769 -3.769 1.943
Gd -0.229 -0.766 1.548
Gd -0.686 -2.297 4.644
C -1.861 -2.436 2.441
C 1.091 -1.333 -0.498
```

Calculated values
Energy of formation from the pure elements = -72.0 kJ/mol of formula units
E_tot = -28.99 eV/atom
Space-group type = No. 131

12.
Density functional theory data (SCAN) for a crystal of MoAuCl2 relaxed with PBEsol.

Geometry as extended XYZ:
```
4
Lattice="-1.733 -1.251 -2.127 2.954 -0.686 0.134 -1.906 -7.092 5.724" Properties=species:S:1:pos:R:3 pbc="T T T"
Mo -0.948 -3.528 2.847
Cl -1.838 -6.841 5.522
Cl -1.436 -2.746 0.648
Au -2.275 -5.867 3.167
```

Calculated values
Relative energy among the computed polymorphs = 0 meV per atom
E_tot = -29.88 eV/atom
Space-group type = No. 35

13.
Density functional theory data (SCAN) for a crystal of RbGa3I relaxed with PBEsol.

Geometry as extended XYZ:
```
5
Lattice="-3.375 4.853 -0.139 -2.355 -1.489 5.215 4.245 3.032 2.782" Properties=species:S:1:pos:R:3 pbc="T T T"
Ga 2.123 1.516 1.391
Ga -1.177 -0.744 2.608
Ga -1.688 2.426 -0.069
I 0.000 0.000 0.000
Rb -0.742 3.198 3.929
```

Calculated values
E_tot = -20.85 eV/atom
Space-group type = No. 221

14.
Density functional theory data (SCAN) for a crystal of Tb3Sm relaxed with PBEsol.

Geometry as extended XYZ:
```
4
Lattice="4.947 0.000 0.000 0.000 4.947 0.000 -2.474 -2.474 4.950" Properties=species:S:1:pos:R:3 pbc="T T T"
Sm 0.000 0.000 0.000
Tb 2.474 2.474 0.000
Tb 2.474 0.000 2.475
Tb 0.000 2.474 2.475
```

Calculated values
Energy of formation from the pure elements = 5.5 kJ/mol of formula units
Relative energy among the computed polymorphs = 0 meV per atom
E_tot = -46.17 eV/atom
Space-group type = No. 139

15.
Density functional theory data (SCAN) for a crystal of RbAl2NiBi relaxed with PBEsol.

Geometry as extended XYZ:
```
5
Lattice="-0.631 -4.585 -0.892 3.356 0.181 -3.306 3.733 -1.238 3.721" Properties=species:S:1:pos:R:3 pbc="T T T"
Ni 0.000 0.000 0.000
Rb 3.229 -2.821 -0.238
Al 1.678 0.091 -1.653
Al -0.316 -2.293 -0.446
Bi 1.866 -0.619 1.861
```

Calculated values
Energy of formation from the pure elements = 55.9 kJ/mol of formula units
E_tot = -26.08 eV/atom
Space-group type = No. 123

16.
Density functional theory data (SCAN) for a crystal of MgBeSi relaxed with PBEsol.

Geometry as extended XYZ:
```
3
Lattice="2.763 0.039 0.000 -0.270 2.750 0.000 -1.247 -1.395 5.624" Properties=species:S:1:pos:R:3 pbc="T T T"
Si 0.000 0.000 4.004
Be 1.247 1.395 5.473
Mg 1.247 1.395 1.772
```

Calculated values
E_tot = -6.09 eV/atom
Space-group type = No. 42

17.
Density functional theory data (SCAN) for a crystal of MgTaCu relaxed with PBEsol.

Geometry as extended XYZ:
```
3
Lattice="4.230 0.000 0.000 2.115 3.664 0.000 2.115 1.221 3.454" Properties=species:S:1:pos:R:3 pbc="T T T"
Cu 4.230 2.442 1.727
Mg 6.346 3.664 2.591
Ta 0.000 0.000 0.000
```

Calculated values
Energy of formation from the pure elements = 388.0 kJ/mol of formula units
E_tot = -27.58 eV/atom
Space-group type = No. 216

18.
Density functional theory data (SCAN) for a crystal of KBe2Ag relaxed with PBEsol.

Geometry as extended XYZ:
```
4
Lattice="-0.261 0.767 2.652 -3.392 0.157 -0.379 -0.434 -7.654 0.720" Properties=species:S:1:pos:R:3 pbc="T T T"
Be -0.091 -0.397 0.648
Be -1.937 -0.189 1.859
K -0.319 -3.335 1.478
Ag -2.087 -6.252 0.694
```

Calculated values
Energy of formation from the pure elements = 191.1 kJ/mol of formula units
E_tot = -11.61 eV/atom
Space-group type = No. 38

19.
Density functional theory data (SCAN) for a crystal of Ir2RuW relaxed with PBEsol.

Geometry as extended XYZ:
```
4
Lattice="2.731 0.000 0.000 0.000 4.680 0.001 0.000 -1.540 4.447" Properties=species:S:1:pos:R:3 pbc="T T T"
Ru 1.366 -0.770 2.223
Ir 1.366 2.340 0.000
Ir 0.000 0.000 0.000
W 0.000 1.570 2.224
```

Calculated values
Energy of formation from the pure elements = -57.5 kJ/mol of formula units
Relative energy among the computed polymorphs = 190 meV per atom
E_tot = -61.83 eV/atom
Space-group type = No. 10

20.
Density functional theory data (SCAN) for a crystal of BaIn2Pt2 relaxed with PBEsol.

Geometry as extended XYZ:
```
5
Lattice="4.525 0.000 0.000 0.000 4.525 0.000 -2.263 -2.263 5.769" Properties=species:S:1:pos:R:3 pbc="T T T"
Pt 0.000 0.000 4.440
Pt 2.263 2.263 1.329
Ba 0.000 0.000 0.000
In 0.000 2.263 2.885
In 2.263 0.000 2.885
```

Calculated values
Energy of formation from the pure elements = -380.8 kJ/mol of formula units
E_tot = -50.13 eV/atom
Space-group type = No. 139

21.
Density functional theory data (SCAN) for a crystal of TlFeN2 relaxed with PBEsol.

Geometry as extended XYZ:
```
4
Lattice="3.928 0.000 0.000 1.964 3.402 0.000 1.964 1.134 3.207" Properties=species:S:1:pos:R:3 pbc="T T T"
Fe 0.000 0.000 0.000
Tl 3.928 2.268 1.604
N 5.892 3.402 2.406
N 1.964 1.134 0.802
```

Calculated values
Relative energy among the computed polymorphs = 466 meV per atom
E_tot = -25.68 eV/atom
Space-group type = No. 225

22.
Density functional theory data (SCAN) for a crystal of NaLi2ScH relaxed with PBEsol.

Geometry as extended XYZ:
```
5
Lattice="-2.649 2.279 1.773 -3.406 -3.490 -0.602 1.229 -1.948 4.340" Properties=species:S:1:pos:R:3 pbc="T T T"
Li -1.703 -1.745 -0.301
Li 0.615 -0.974 2.170
Na -2.413 -1.580 2.756
H 0.000 0.000 0.000
Sc -1.325 1.140 0.887
```

Calculated values
E_tot = -5.26 eV/atom
Space-group type = No. 123

23.
Density functional theory data (SCAN) for a crystal of KHfRh2N relaxed with PBEsol.

Geometry as extended XYZ:
```
5
Lattice="4.050 0.000 0.000 0.000 4.050 0.000 0.000 0.000 4.717" Properties=species:S:1:pos:R:3 pbc="T T T"
Rh 2.025 0.000 0.000
Rh 0.000 2.025 0.000
N 0.000 0.000 0.000
K 0.000 0.000 2.358
Hf 2.025 2.025 2.358
```

Calculated values
E_tot = -28.93 eV/atom
Space-group type = No. 123

24.
Density functional theory data (SCAN) for a crystal of KTl2Te relaxed with PBEsol.

Geometry as extended XYZ:
```
4
Lattice="5.625 0.000 0.000 2.813 4.872 0.000 2.813 1.624 4.593" Properties=species:S:1:pos:R:3 pbc="T T T"
Tl 8.438 4.872 3.445
Tl 0.000 0.000 0.000
Te 2.813 1.624 1.148
K 5.625 3.248 2.297
```

Calculated values
Relative energy among the computed polymorphs = 159 meV per atom
E_tot = -47.90 eV/atom
Space-group type = No. 216

25.
Density functional theory data (SCAN) for a crystal of Ca3MgH relaxed with PBEsol.

Geometry as extended XYZ:
```
5
Lattice="-3.690 3.208 1.416 -3.369 -3.814 -0.136 0.975 -1.035 4.888" Properties=species:S:1:pos:R:3 pbc="T T T"
Ca 0.487 -0.518 2.444
Ca -1.845 1.604 0.708
Ca -1.684 -1.907 -0.068
H 0.000 0.000 0.000
Mg -3.042 -0.821 3.084
```

Calculated values
E_tot = -7.65 eV/atom
Space-group type = No. 221

26.
Density functional theory data (SCAN) for a crystal of TlPd3Pt relaxed with PBEsol.

Geometry as extended XYZ:
```
5
Lattice="4.838 0.000 0.000 0.000 4.838 0.000 0.000 0.000 4.838" Properties=species:S:1:pos:R:3 pbc="T T T"
Tl 2.419 2.419 2.419
Pd 0.000 2.419 0.000
Pd 0.000 0.000 2.419
Pd 2.419 0.000 0.000
Pt 0.000 0.000 0.000
```

Calculated values
Energy of formation from the pure elements = 376.9 kJ/mol of formula units
E_tot = -47.39 eV/atom
Space-group type = No. 221

27.
Density functional theory data (SCAN) for a crystal of BaLaAg2 relaxed with PBEsol.

Geometry as extended XYZ:
```
4
Lattice="-0.819 2.222 4.632 1.090 -2.610 4.366 4.040 1.434 2.947" Properties=species:S:1:pos:R:3 pbc="T T T"
La 1.078 0.261 2.986
Ba 2.156 0.523 5.972
Ag 0.000 0.000 0.000
Ag 3.234 0.784 8.959
```

Calculated values
Energy of formation from the pure elements = -21.4 kJ/mol of formula units
E_tot = -36.40 eV/atom
Space-group type = No. 216

28.
Density functional theory data (SCAN) for a crystal of LiNbCCl2 relaxed with PBEsol.

Geometry as extended XYZ:
```
5
Lattice="4.673 0.000 0.000 0.000 4.673 0.000 0.000 0.000 6.086" Properties=species:S:1:pos:R:3 pbc="T T T"
Cl 0.000 2.336 0.000
Cl 2.336 0.000 0.000
Li 0.000 0.000 3.043
C 2.336 2.336 3.043
Nb 0.000 0.000 0.000
```

Calculated values
E_tot = -11.36 eV/atom
Space-group type = No. 123

29.
Density functional theory data (SCAN) for a crystal of CaYFe relaxed with PBEsol.

Geometry as extended XYZ:
```
3
Lattice="4.801 0.000 0.000 2.401 4.158 0.000 2.401 1.386 3.920" Properties=species:S:1:pos:R:3 pbc="T T T"
Y 4.801 2.772 1.960
Ca 2.401 1.386 0.980
Fe 0.000 0.000 0.000
```

Calculated values
Energy of formation from the pure elements = 325.8 kJ/mol of formula units
Relative energy among the computed polymorphs = 674 meV per atom
E_tot = -17.42 eV/atom
Space-group type = No. 216